4
Lattice="3.2618 0.0000 0.0000 0.0000 3.2618 0.0000 0.0000 0.0000 8.8823" Properties=species:S:1:pos:R:3 comment="BaScMn2 (PBE, optimized geometry)" density_g_cm3=5.13 e_form_ev_per_fu=1.59 space_group="P4mm (99)" m_tot_mub_per_fu=1.60 energy_ev_per_atom=-6.25 pbc="T T T"
Ba 0.0000 0.0000 0.0000
Sc 1.6309 1.6309 5.5849
Mn 0.0000 0.0000 3.8449
Mn 1.6309 1.6309 2.7035